Record 1
SrMg2TlCd: optimized geometry, PBE.

Properties
E (eV/cell): -9.15
Space group: I4mm

a b c (Å): 7.3286 7.3286 7.3286
angles (deg): 143.21 143.21 53.01
Last column: nearest neighbours and their distance in Å.
Positions (direct):
Sr 0.0004 0.0004 0.0000  4 Tl 3.58, 4 Cd 3.59, 4 Mg 3.99
Tl 0.3902 0.3902 0.0000  1 Cd 2.92, 4 Mg 2.97
Mg 0.7482 0.2482 0.5000  2 Cd 2.92, 2 Tl 2.97
Mg 0.2482 0.7482 0.5000  2 Cd 2.92, 2 Tl 2.97
Cd 0.6129 0.6129 0.0000  4 Mg 2.92, 1 Tl 2.92


Record 2
SrPdNO: optimized geometry, PBE.

Properties
Offset from the most stable computed form (eV per formula unit): 0.61
Space group: P4/nmm

a b c (Å): 4.0440 4.0440 8.3708
angles (deg): 90.00 90.00 90.00
Last column: nearest neighbours and their distance in Å.
Positions (direct):
N 0.0000 0.5000 0.4176  4 Pd 2.14
N 0.5000 0.0000 0.5824  4 Pd 2.14
Pd 0.0000 0.0000 0.5000  4 N 2.14
Pd 0.5000 0.5000 0.5000  4 N 2.14
Sr 0.5000 0.0000 0.1468  4 O 2.37
Sr 0.0000 0.5000 0.8532  4 O 2.37
O 0.0000 0.0000 0.0000  4 Sr 2.37
O 0.5000 0.5000 0.0000  4 Sr 2.37


Record 3
Zr4Sc2Si3C3: optimized geometry, PBE.

Properties
E (eV/cell): -198.64
Space group: C2/c

a b c (Å): 5.7716 5.7716 14.0329
angles (deg): 101.87 101.87 60.22
Last column: nearest neighbours and their distance in Å.
Positions (direct):
C 0.8394 0.3298 0.5006  4 Zr 2.28-2.33, 2 Sc 2.30-2.36
C 0.5000 0.0000 0.5000  4 Zr 2.29-2.30, 2 Sc 2.30
C 0.0000 0.5000 0.0000  4 Zr 2.29-2.30, 2 Sc 2.30
C 0.1606 0.6702 0.4994  4 Zr 2.28-2.33, 2 Sc 2.30-2.36
C 0.3298 0.8394 0.0006  4 Zr 2.28-2.33, 2 Sc 2.30-2.36
C 0.6702 0.1606 0.9994  4 Zr 2.28-2.33, 2 Sc 2.30-2.36
Zr 0.8010 0.9654 0.4069  3 C 2.28-2.33
Zr 0.9654 0.8010 0.9069  3 C 2.28-2.33
Zr 0.8578 0.6953 0.5931  3 C 2.28-2.33
Zr 0.6953 0.8578 0.0931  3 C 2.28-2.33
Zr 0.3047 0.1422 0.9069  3 C 2.28-2.33
Zr 0.1422 0.3047 0.4069  3 C 2.28-2.33
Zr 0.1990 0.0346 0.5931  3 C 2.28-2.33
Zr 0.0346 0.1990 0.0931  3 C 2.28-2.33
Si 0.9835 0.0165 0.7500  2 Si 2.73, 4 Zr 2.78-2.79
Si 0.4723 0.2558 0.2496  2 Si 2.71-2.73, 2 Sc 2.78, 2 Zr 2.81
Si 0.5277 0.7442 0.7504  2 Si 2.71-2.73, 2 Sc 2.78, 2 Zr 2.81
Si 0.7442 0.5277 0.2504  2 Si 2.71-2.73, 2 Sc 2.78, 2 Zr 2.81
Si 0.2558 0.4723 0.7496  2 Si 2.71-2.73, 2 Sc 2.78, 2 Zr 2.81
Si 0.0165 0.9835 0.2500  2 Si 2.73, 4 Zr 2.78-2.79
Sc 0.5371 0.3611 0.5928  3 C 2.30-2.36
Sc 0.6389 0.4629 0.9072  3 C 2.30-2.36
Sc 0.3611 0.5371 0.0928  3 C 2.30-2.36
Sc 0.4629 0.6389 0.4072  3 C 2.30-2.36


Record 4
MgTaFeSn: optimized geometry, PBE.

Properties
Offset from the most stable computed form (eV per formula unit): 0.00
Space group: F-43m

a b c (Å): 4.5423 4.5423 4.5423
angles (deg): 60.00 60.00 60.00
Last column: nearest neighbours and their distance in Å.
Positions (direct):
Fe 0.7500 0.7500 0.7500  4 Sn 2.78, 4 Ta 2.78
Mg 0.2500 0.2500 0.2500  4 Ta 2.78, 4 Sn 2.78
Sn 0.0000 0.0000 0.0000  4 Fe 2.78, 4 Mg 2.78
Ta 0.5000 0.5000 0.5000  4 Mg 2.78, 4 Fe 2.78


Record 5
CoN: optimized geometry, PBE.

Properties
Offset from the most stable computed form (eV per formula unit): 0.81
Space group: R-3m

a b c (Å): 2.8340 2.8340 2.8340
angles (deg): 59.30 59.30 59.30
Last column: nearest neighbours and their distance in Å.
Positions (direct):
Co 0.0000 0.0000 0.0000  6 N 1.99
N 0.5000 0.5000 0.5000  6 Co 1.99


Record 6
ZrAg: optimized geometry, PBE.

Properties
Energy relative to the elements (eV per atom): 0.032
Space group: Pnma

a b c (Å): 5.6220 5.9537 4.7915
angles (deg): 90.00 90.00 90.00
Last column: nearest neighbours and their distance in Å.
Positions (direct):
Ag 0.8388 0.2476 0.5000  7 Zr 2.89-3.06, 4 Ag 2.97-3.17
Ag 0.4945 0.7476 0.0000  7 Zr 2.89-3.06, 4 Ag 2.97-3.17
Ag 0.3388 0.0024 0.5000  7 Zr 2.89-3.06, 4 Ag 2.97-3.17
Ag 0.9945 0.5024 0.0000  7 Zr 2.89-3.06, 4 Ag 2.97-3.17
Zr 0.5530 0.2369 0.0000  7 Ag 2.89-3.06, 2 Zr 3.11
Zr 0.7804 0.7369 0.5000  7 Ag 2.89-3.06, 2 Zr 3.11
Zr 0.2804 0.5131 0.5000  7 Ag 2.89-3.06, 2 Zr 3.11
Zr 0.0530 0.0131 0.0000  7 Ag 2.89-3.06, 2 Zr 3.11


Record 7
HfCoGe: optimized geometry, PBE.

Properties
E (eV/cell): -94.61
Space group: Pnma

a b c (Å): 6.3966 4.0052 7.1079
angles (deg): 90.00 90.00 90.00
Last column: nearest neighbours and their distance in Å.
Positions (direct):
Co 0.8157 0.2500 0.5801  4 Ge 2.36-2.48
Co 0.3157 0.2500 0.9199  4 Ge 2.36-2.48
Co 0.6843 0.7500 0.0801  4 Ge 2.36-2.48
Co 0.1843 0.7500 0.4199  4 Ge 2.36-2.48
Hf 0.5059 0.2500 0.2993  6 Co 2.78-3.00, 6 Ge 2.81-3.08
Hf 0.9941 0.7500 0.7993  6 Co 2.78-3.00, 6 Ge 2.81-3.08
Hf 0.4941 0.7500 0.7007  6 Co 2.78-3.00, 6 Ge 2.81-3.08
Hf 0.0059 0.2500 0.2007  6 Co 2.78-3.00, 6 Ge 2.81-3.08
Ge 0.2035 0.2500 0.5951  4 Co 2.36-2.48
Ge 0.2965 0.7500 0.0951  4 Co 2.36-2.48
Ge 0.7965 0.7500 0.4049  4 Co 2.36-2.48
Ge 0.7035 0.2500 0.9049  4 Co 2.36-2.48


Record 8
NiBiPt: optimized geometry, PBE.

Properties
Offset from the most stable computed form (eV per formula unit): 0.52
Space group: P6_3mc

a b c (Å): 4.2415 4.2415 7.9555
angles (deg): 90.00 90.00 120.00
Last column: nearest neighbours and their distance in Å.
Positions (direct):
Ni 0.0000 0.0000 0.6992  3 Pt 2.57
Ni 0.0000 0.0000 0.1992  3 Pt 2.57
Bi 0.6667 0.3333 0.9478  4 Pt 2.74
Bi 0.3333 0.6667 0.4478  4 Pt 2.74
Pt 0.3333 0.6667 0.1030  3 Ni 2.57, 4 Bi 2.74
Pt 0.6667 0.3333 0.6030  3 Ni 2.57, 4 Bi 2.74


Record 9
Be2HgPt2: optimized geometry, PBE.

Properties
Offset from the most stable computed form (eV per formula unit): 0.29
Space group: I4/mmm

a b c (Å): 6.3794 6.3794 6.3794
angles (deg): 147.61 147.61 46.47
Last column: nearest neighbours and their distance in Å.
Positions (direct):
Be 0.2500 0.7500 0.5000  4 Pt 2.30, 4 Be 2.52
Be 0.7500 0.2500 0.5000  4 Pt 2.30, 4 Be 2.52
Pt 0.6256 0.6256 0.0000  4 Be 2.30
Pt 0.3744 0.3744 0.0000  4 Be 2.30
Hg 0.0000 0.0000 0.0000  8 Pt 2.92


Record 10
Dy3TaO7: optimized geometry, PBE.

Properties
Offset from the most stable computed form (eV per formula unit): 0.04
Space group: C222_1

a b c (Å): 6.4109 6.4109 7.4685
angles (deg): 90.00 90.00 109.62
Last column: nearest neighbours and their distance in Å.
Positions (direct):
Dy 0.5041 0.5041 0.5000  6 O 2.31-2.55
Dy 0.5350 0.0000 0.7511  7 O 2.20-2.43
Dy 0.4959 0.4959 0.0000  6 O 2.31-2.55
Dy 0.4650 0.0000 0.2511  7 O 2.20-2.43
Dy 0.0000 0.5350 0.2489  7 O 2.20-2.43
Dy 0.0000 0.4650 0.7489  7 O 2.20-2.43
O 0.6784 0.9287 0.0344  1 Ta 1.97
O 0.6368 0.3632 0.7500  4 Dy 2.20-2.35
O 0.3216 0.0713 0.5344  1 Ta 1.97
O 0.0713 0.3216 0.4656  1 Ta 1.97
O 0.9321 0.0679 0.7500  2 Ta 2.00
O 0.6750 0.9240 0.4685  1 Ta 1.99
O 0.6295 0.3705 0.2500  4 Dy 2.25-2.31
O 0.9240 0.6750 0.5315  1 Ta 1.99
O 0.0760 0.3250 0.0315  1 Ta 1.99
O 0.3632 0.6368 0.2500  4 Dy 2.20-2.35
O 0.3250 0.0760 0.9685  1 Ta 1.99
O 0.0679 0.9321 0.2500  2 Ta 2.00
O 0.3705 0.6295 0.7500  4 Dy 2.25-2.31
O 0.9287 0.6784 0.9656  1 Ta 1.97
Ta 0.0000 0.0000 0.5000  6 O 1.97-2.00
Ta 0.0000 0.0000 0.0000  6 O 1.97-2.00


Record 11
LuNiSnHg: optimized geometry, PBE.

Properties
Offset from the most stable computed form (eV per formula unit): 0.17
Space group: F-43m

a b c (Å): 4.8434 4.8434 4.8434
angles (deg): 60.00 60.00 60.00
Last column: nearest neighbours and their distance in Å.
Positions (direct):
Ni 0.7500 0.7500 0.7500  4 Sn 2.97, 4 Hg 2.97
Lu 0.2500 0.2500 0.2500  4 Hg 2.97, 4 Sn 2.97
Sn 0.0000 0.0000 0.0000  4 Ni 2.97, 4 Lu 2.97
Hg 0.5000 0.5000 0.5000  4 Lu 2.97, 4 Ni 2.97


Record 12
Zr2Pd: optimized geometry, PBE.

Properties
Energy relative to the elements (eV per atom): -0.397
Space group: Cmcm

a b c (Å): 14.8928 3.2810 4.9171
angles (deg): 90.00 90.00 90.00
Last column: nearest neighbours and their distance in Å.
Positions (direct):
Pd 0.3128 0.0000 0.0000  8 Zr 2.80-3.00
Pd 0.1315 0.0000 0.5000  8 Zr 2.80-3.00
Pd 0.6316 0.5000 0.5000  8 Zr 2.80-3.00
Pd 0.8129 0.5000 0.0000  8 Zr 2.80-3.00
Zr 0.9652 0.0000 0.0000  2 Pd 2.80, 6 Zr 2.96-3.13
Zr 0.4651 0.5000 0.0000  2 Pd 2.80, 6 Zr 2.96-3.13
Zr 0.1444 0.5000 0.0000  6 Pd 2.96-3.00, 4 Zr 3.13-3.28
Zr 0.3000 0.5000 0.5000  6 Pd 2.96-3.00, 4 Zr 3.13-3.28
Zr 0.9792 0.5000 0.5000  2 Pd 2.80, 6 Zr 2.96-3.13
Zr 0.8000 0.0000 0.5000  6 Pd 2.96-3.00, 4 Zr 3.13-3.28
Zr 0.4793 0.0000 0.5000  2 Pd 2.80, 6 Zr 2.96-3.13
Zr 0.6445 0.0000 0.0000  6 Pd 2.96-3.00, 4 Zr 3.13-3.28


In g/cm³, the theoretical density values for the records above are, in order, 5.36; 5.44; 4.85; 9.52; 7.65; 8.25; 11.31; 12.40; 13.61; 8.96; 11.43; 7.99.